1.
VASP calculation (PBE-GGA) on GdScSnRu after structural relaxation.

final energy = -0.325 hartree per atom
ΔH_f (0 K) = -0.411 eV per atom
D(E_F) = 9.6 states/eV/cell
calculated density = 8.14 g/cm3

Cell and atoms, written as CIF:
```
data_GdScSnRu
_cell_length_a 7.009
_cell_length_b 7.009
_cell_length_c 7.009
_cell_angle_alpha 90.00
_cell_angle_beta 90.00
_cell_angle_gamma 90.00
_space_group_name_H-M_alt 'F -4 3 m'
_space_group_IT_number 216
_space_group_name_Hall 'F -4 2 3'
loop_
_atom_site_label
_atom_site_fract_x
_atom_site_fract_y
_atom_site_fract_z
Gd1 0.000 0.000 0.000
Sc1 0.000 0.000 0.500
Sn1 0.250 0.250 0.750
Ru1 0.250 0.250 0.250
```



2.
VASP calculation (PBE-GGA) on GdScTcRu after structural relaxation.

final energy = -0.372 hartree per atom
ΔH_f (0 K) = -0.115 eV per atom
D(E_F) = 22.1 states/eV/cell
calculated density = 9.03 g/cm3

Cell and atoms, written as CIF:
```
data_GdScTcRu
_cell_length_a 6.659
_cell_length_b 6.659
_cell_length_c 6.659
_cell_angle_alpha 90.00
_cell_angle_beta 90.00
_cell_angle_gamma 90.00
_space_group_name_H-M_alt 'F -4 3 m'
_space_group_IT_number 216
_space_group_name_Hall 'F -4 2 3'
loop_
_atom_site_label
_atom_site_fract_x
_atom_site_fract_y
_atom_site_fract_z
Gd1 0.000 0.000 0.000
Sc1 0.000 0.000 0.500
Tc1 0.250 0.250 0.750
Ru1 0.250 0.250 0.250
```



3.
VASP calculation (PBE-GGA) on GdScTlRu after structural relaxation.

final energy = -0.303 hartree per atom
ΔH_f (0 K) = -0.233 eV per atom
D(E_F) = 10.7 states/eV/cell
calculated density = 9.67 g/cm3

Cell and atoms, written as CIF:
```
data_GdScTlRu
_cell_length_a 7.037
_cell_length_b 7.037
_cell_length_c 7.037
_cell_angle_alpha 90.00
_cell_angle_beta 90.00
_cell_angle_gamma 90.00
_space_group_name_H-M_alt 'F -4 3 m'
_space_group_IT_number 216
_space_group_name_Hall 'F -4 2 3'
loop_
_atom_site_label
_atom_site_fract_x
_atom_site_fract_y
_atom_site_fract_z
Gd1 0.000 0.000 0.000
Sc1 0.000 0.000 0.500
Tl1 0.250 0.250 0.750
Ru1 0.250 0.250 0.250
```



4.
VASP calculation (PBE-GGA) on GdYScRu after structural relaxation.

final energy = -0.332 hartree per atom
ΔH_f (0 K) = -0.004 eV per atom
D(E_F) = 21.8 states/eV/cell
calculated density = 7.06 g/cm3

Cell and atoms, written as CIF:
```
data_GdYScRu
_cell_length_a 7.171
_cell_length_b 7.171
_cell_length_c 7.171
_cell_angle_alpha 90.00
_cell_angle_beta 90.00
_cell_angle_gamma 90.00
_space_group_name_H-M_alt 'F -4 3 m'
_space_group_IT_number 216
_space_group_name_Hall 'F -4 2 3'
loop_
_atom_site_label
_atom_site_fract_x
_atom_site_fract_y
_atom_site_fract_z
Gd1 0.000 0.000 0.000
Y1 0.000 0.000 0.500
Sc1 0.250 0.250 0.750
Ru1 0.250 0.250 0.250
```



5.
VASP calculation (PBE-GGA) on GdScZnRu after structural relaxation.

final energy = -0.298 hartree per atom
ΔH_f (0 K) = -0.358 eV per atom
D(E_F) = 15.2 states/eV/cell
calculated density = 7.81 g/cm3

Cell and atoms, written as CIF:
```
data_GdScZnRu
_cell_length_a 6.792
_cell_length_b 6.792
_cell_length_c 6.792
_cell_angle_alpha 90.00
_cell_angle_beta 90.00
_cell_angle_gamma 90.00
_space_group_name_H-M_alt 'F -4 3 m'
_space_group_IT_number 216
_space_group_name_Hall 'F -4 2 3'
loop_
_atom_site_label
_atom_site_fract_x
_atom_site_fract_y
_atom_site_fract_z
Gd1 0.000 0.000 0.000
Sc1 0.000 0.000 0.500
Zn1 0.250 0.250 0.250
Ru1 0.250 0.250 0.750
```



6.
VASP calculation (PBE-GGA) on GdSiRu after structural relaxation.

final energy = -0.383 hartree per atom
energy relative to the elements, uncorrected = -0.816 eV/atom
D(E_F) = 4.3 states/eV/cell
calculated density = 8.04 g/cm3

Cell and atoms, written as CIF:
```
data_GdSiRu
_cell_length_a 4.214
_cell_length_b 4.214
_cell_length_c 6.660
_cell_angle_alpha 90.00
_cell_angle_beta 90.00
_cell_angle_gamma 90.00
_space_group_name_H-M_alt 'P 4/n m m'
_space_group_IT_number 129
loop_
_space_group_symop_operation_xyz
'x,y,z'
'-x,-y,-z'
'-y+1/2,x,z'
'y+1/2,-x,-z'
'-x+1/2,-y+1/2,z'
'x+1/2,y+1/2,-z'
'y,-x+1/2,z'
'-y,x+1/2,-z'
'x+1/2,-y,-z'
'-x+1/2,y,z'
'-y,-x,-z'
'y,x,z'
'-x,y+1/2,-z'
'x,-y+1/2,z'
'y+1/2,x+1/2,-z'
'-y+1/2,-x+1/2,z'
loop_
_atom_site_label
_atom_site_fract_x
_atom_site_fract_y
_atom_site_fract_z
Gd1 0.250 0.250 0.178
Si1 0.250 0.250 0.685
Ru1 0.250 0.750 0.500
```